No. 1
TaTl2Zn | PBE | relaxed

CIF file:
```
data_TaTl2Zn
_symmetry_space_group_name_H-M 'C m m m'
_symmetry_Int_Tables_number 65
_symmetry_space_group_name_Hall '-C 2 2'
_cell_length_a 6.130
_cell_length_b 8.753
_cell_length_c 3.111
_cell_angle_alpha 90.00
_cell_angle_beta 90.00
_cell_angle_gamma 90.00
loop_
_atom_site_label
_atom_site_type_symbol
_atom_site_fract_x
_atom_site_fract_y
_atom_site_fract_z
Ta1 Ta 0.000 0.000 0.000
Tl1 Tl 0.250 0.250 0.500
Zn1 Zn 0.000 0.500 0.000
```

Summary:
Energy of formation (eV per atom): 0.49
Crystal system: orthorhombic
Distance to the lowest polymorph of the same formula (meV/atom): 140.2



No. 2
Na2ScCr2 | PBE | relaxed

CIF file:
```
data_Na2ScCr2
_symmetry_space_group_name_H-M 'I 4/m m m'
_symmetry_Int_Tables_number 139
_symmetry_space_group_name_Hall '-I 4 2'
_cell_length_a 3.976
_cell_length_b 3.976
_cell_length_c 13.549
_cell_angle_alpha 90.00
_cell_angle_beta 90.00
_cell_angle_gamma 90.00
loop_
_atom_site_label
_atom_site_type_symbol
_atom_site_fract_x
_atom_site_fract_y
_atom_site_fract_z
Na1 Na 0.000 0.500 0.250
Sc1 Sc 0.000 0.000 0.000
Cr1 Cr 0.000 0.000 0.432
```

Summary:
Energy of formation (eV per atom): 0.79
Crystal system: tetragonal
Distance to the lowest polymorph of the same formula (meV/atom): 0.0



No. 3
KZrScTi2 | PBE | relaxed

CIF file:
```
data_KZrScTi2
_symmetry_space_group_name_H-M 'P 4/m m m'
_symmetry_Int_Tables_number 123
_symmetry_space_group_name_Hall '-P 4 2'
_cell_length_a 4.706
_cell_length_b 4.706
_cell_length_c 4.962
_cell_angle_alpha 90.00
_cell_angle_beta 90.00
_cell_angle_gamma 90.00
loop_
_atom_site_label
_atom_site_type_symbol
_atom_site_fract_x
_atom_site_fract_y
_atom_site_fract_z
K1 K 0.000 0.000 0.000
Zr1 Zr 0.000 0.000 0.500
Sc1 Sc 0.500 0.500 0.500
Ti1 Ti 0.000 0.500 0.000
```

Summary:
Energy of formation (eV per atom): 1.70
Crystal system: tetragonal



No. 4
AcPrHo | PBE | relaxed

CIF file:
```
data_AcPrHo
_symmetry_space_group_name_H-M 'P 63/m m c'
_symmetry_Int_Tables_number 194
_symmetry_space_group_name_Hall '-P 6c 2c'
_cell_length_a 5.9671
_cell_length_b 5.9671
_cell_length_c 7.3080
_cell_angle_alpha 90.00
_cell_angle_beta 90.00
_cell_angle_gamma 120.00
loop_
_atom_site_label
_atom_site_type_symbol
_atom_site_fract_x
_atom_site_fract_y
_atom_site_fract_z
Ac1 Ac 0.3333 0.6667 0.2500
Pr1 Pr 0.0000 0.0000 0.0000
Ho1 Ho 0.3333 0.6667 0.7500
```

Summary:
Energy of formation (eV per atom): 0.13
Crystal system: hexagonal
Distance to the lowest polymorph of the same formula (meV/atom): 99.3



No. 5
TlSi2Au2 | PBE | relaxed

CIF file:
```
data_TlSi2Au2
_symmetry_space_group_name_H-M 'I 4/m m m'
_symmetry_Int_Tables_number 139
_symmetry_space_group_name_Hall '-I 4 2'
_cell_length_a 4.462
_cell_length_b 4.462
_cell_length_c 10.838
_cell_angle_alpha 90.00
_cell_angle_beta 90.00
_cell_angle_gamma 90.00
loop_
_atom_site_label
_atom_site_type_symbol
_atom_site_fract_x
_atom_site_fract_y
_atom_site_fract_z
Tl1 Tl 0.000 0.000 0.000
Si1 Si 0.000 0.500 0.250
Au1 Au 0.000 0.000 0.362
```

Summary:
Formation energy (no corrections) (meV per atom): 137
Crystal system: tetragonal
Distance to the lowest polymorph of the same formula (meV/atom): 53.0



No. 6
Re3OsRu | PBE | relaxed

CIF file:
```
data_Re3OsRu
_symmetry_space_group_name_H-M 'P m -3 m'
_symmetry_Int_Tables_number 221
_symmetry_space_group_name_Hall '-P 4 2 3'
_cell_length_a 4.647
_cell_length_b 4.647
_cell_length_c 4.647
_cell_angle_alpha 90.00
_cell_angle_beta 90.00
_cell_angle_gamma 90.00
loop_
_atom_site_label
_atom_site_type_symbol
_atom_site_fract_x
_atom_site_fract_y
_atom_site_fract_z
Re1 Re 0.000 0.000 0.500
Os1 Os 0.000 0.000 0.000
Ru1 Ru 0.500 0.500 0.500
```

Summary:
Energy of formation (eV per atom): 2.43
Crystal system: cubic
Distance to the lowest polymorph of the same formula (meV/atom): 2393.9



No. 7
TeIrN2 | PBE | relaxed

CIF file:
```
data_TeIrN2
_symmetry_space_group_name_H-M 'R -3 m'
_symmetry_Int_Tables_number 166
_symmetry_space_group_name_Hall '-R 3 2"'
_cell_length_a 3.2229
_cell_length_b 3.2229
_cell_length_c 19.1031
_cell_angle_alpha 90.00
_cell_angle_beta 90.00
_cell_angle_gamma 120.00
loop_
_atom_site_label
_atom_site_type_symbol
_atom_site_fract_x
_atom_site_fract_y
_atom_site_fract_z
Te1 Te 0.0000 0.0000 0.0000
Ir1 Ir 0.0000 0.0000 0.5000
N1 N 0.0000 0.0000 0.1177
```

Summary:
Formation energy (no corrections) (meV per atom): 746
Crystal system: trigonal



No. 8
CeTmPt | PBE | relaxed

CIF file:
```
data_CeTmPt
_symmetry_space_group_name_H-M 'P 1 21/c 1'
_symmetry_Int_Tables_number 14
_symmetry_space_group_name_Hall '-P 2ybc'
_cell_length_a 6.560
_cell_length_b 7.292
_cell_length_c 6.851
_cell_angle_alpha 90.00
_cell_angle_beta 95.05
_cell_angle_gamma 90.00
loop_
_atom_site_label
_atom_site_type_symbol
_atom_site_fract_x
_atom_site_fract_y
_atom_site_fract_z
Ce1 Ce 0.081 0.235 0.003
Tm1 Tm 0.403 0.610 0.219
Pt1 Pt 0.217 0.556 0.805
```

Summary:
Energy of formation (eV per atom): -0.77
Crystal system: monoclinic
Distance to the lowest polymorph of the same formula (meV/atom): 0.0



No. 9
LiTbAsO4 | PBE | relaxed

CIF file:
```
data_LiTbAsO4
_symmetry_space_group_name_H-M 'I m m a'
_symmetry_Int_Tables_number 74
_symmetry_space_group_name_Hall '-I 2b 2'
_cell_length_a 6.573
_cell_length_b 6.913
_cell_length_c 8.187
_cell_angle_alpha 90.00
_cell_angle_beta 90.00
_cell_angle_gamma 90.00
loop_
_atom_site_label
_atom_site_type_symbol
_atom_site_fract_x
_atom_site_fract_y
_atom_site_fract_z
Li1 Li 0.250 0.250 0.250
Tb1 Tb 0.000 0.000 0.000
As1 As 0.000 0.250 0.595
O1 O 0.000 0.041 0.722
O2 O 0.226 0.250 0.017
```

Summary:
Formation energy (no corrections) (meV per atom): -2065
Crystal system: orthorhombic



No. 10
NaLaNdHg | PBE | relaxed

CIF file:
```
data_NaLaNdHg
_symmetry_space_group_name_H-M 'F -4 3 m'
_symmetry_Int_Tables_number 216
_symmetry_space_group_name_Hall 'F -4 2 3'
_cell_length_a 7.868
_cell_length_b 7.868
_cell_length_c 7.868
_cell_angle_alpha 90.00
_cell_angle_beta 90.00
_cell_angle_gamma 90.00
loop_
_atom_site_label
_atom_site_type_symbol
_atom_site_fract_x
_atom_site_fract_y
_atom_site_fract_z
Na1 Na 0.000 0.000 0.000
La1 La 0.250 0.250 0.750
Nd1 Nd 0.250 0.250 0.250
Hg1 Hg 0.000 0.000 0.500
```

Summary:
Energy of formation (eV per atom): -0.09
Crystal system: cubic



No. 11
Y2TaOs | PBE | relaxed

CIF file:
```
data_Y2TaOs
_symmetry_space_group_name_H-M 'P m m m'
_symmetry_Int_Tables_number 47
_symmetry_space_group_name_Hall '-P 2 2'
_cell_length_a 3.430
_cell_length_b 4.851
_cell_length_c 4.983
_cell_angle_alpha 90.00
_cell_angle_beta 90.00
_cell_angle_gamma 90.00
loop_
_atom_site_label
_atom_site_type_symbol
_atom_site_fract_x
_atom_site_fract_y
_atom_site_fract_z
Y1 Y 0.000 0.000 0.000
Y2 Y 0.500 0.500 0.000
Ta1 Ta 0.000 0.500 0.500
Os1 Os 0.500 0.000 0.500
```

Summary:
Energy of formation (eV per atom): 0.35
Crystal system: orthorhombic
Distance to the lowest polymorph of the same formula (meV/atom): 414.6



| no. | total energy (eV/atom) |
| --- | --- |
| 1 | -3.973 |
| 2 | -4.852 |
| 3 | -4.655 |
| 4 | -4.359 |
| 5 | -3.816 |
| 6 | -9.137 |
| 7 | -6.417 |
| 8 | -6.247 |
| 9 | -6.497 |
| 10 | -2.918 |
| 11 | -8.656 |